1.
Compound: AcAl12Ga4
Source: Alexandria
Functional: PBE-GGA
Structure: optimized geometry

Unit cell a=7.772 b=7.772 c=7.772 alpha=109.47 beta=109.47 gamma=109.47
Sites, in units of the cell vectors:
Al1 0.491 0.846 0.645
Al2 0.355 0.201 0.846
Al3 0.355 0.509 0.154
Al4 0.846 0.645 0.491
Al5 0.645 0.491 0.846
Al6 0.509 0.154 0.355
Al7 0.799 0.154 0.645
Al8 0.154 0.355 0.509
Al9 0.846 0.355 0.201
Al10 0.154 0.645 0.799
Al11 0.645 0.799 0.154
Al12 0.201 0.846 0.355
Ga1 0.000 0.500 0.000
Ga2 0.500 0.000 0.000
Ga3 0.500 0.500 0.500
Ga4 0.000 0.000 0.500
Ac1 0.000 0.000 0.000

Output
energy of formation from the pure elements = 0.1114 eV/atom
density of states at the Fermi level = 8.6 states/eV/cell
ρ = 3.81 Mg/m³



2.
Compound: TbNdDy2Tm4
Source: Alexandria
Functional: PBE-GGA
Structure: optimized geometry

Unit cell a=9.449 b=9.449 c=11.691 alpha=128.21 beta=128.21 gamma=88.79
Sites, in units of the cell vectors:
Tm1 0.252 0.751 0.001
Tm2 0.749 0.752 0.500
Tm3 0.748 0.751 0.000
Tm4 0.252 0.249 0.000
Tm5 0.748 0.249 0.999
Tm6 0.251 0.752 0.501
Tm7 0.749 0.248 0.499
Tm8 0.251 0.248 0.500
Tb1 0.500 0.500 0.500
Tb2 0.000 0.000 0.000
Dy1 0.500 0.000 0.000
Dy2 0.500 0.000 0.500
Dy3 0.500 0.500 0.000
Dy4 0.000 0.000 0.500
Nd1 0.000 0.500 0.000
Nd2 0.000 0.500 0.500

Output
energy of formation from the pure elements = 0.4429 eV/atom
density of states at the Fermi level = 34.5 states/eV/cell
ρ = 8.29 Mg/m³



3.
Compound: SbSeCl2
Source: Alexandria
Functional: PBE-GGA
Structure: optimized geometry

Unit cell a=3.308 b=3.308 c=11.754 alpha=90.00 beta=90.00 gamma=115.22
Sites, in units of the cell vectors:
Sb1 0.500 0.500 0.250
Cl1 0.000 0.000 0.077
Cl2 0.000 0.000 0.423
Se1 0.500 0.500 0.750

Output
density of states at the Fermi level = 2.8 states/eV/cell
ρ = 3.88 Mg/m³
energy relative to the lowest polymorph listed for this composition = 0.429 eV/atom
raw formation energy = 0.04 eV per atom



4.
Compound: RbTl
Source: Alexandria
Functional: PBE-GGA
Structure: optimized geometry

Unit cell a=4.302 b=4.303 c=10.640 alpha=90.00 beta=90.22 gamma=90.00
Sites, in units of the cell vectors:
Tl1 0.751 0.250 0.070
Tl2 0.249 0.750 0.930
Rb1 0.747 0.250 0.701
Rb2 0.253 0.750 0.299

Output
energy of formation from the pure elements = -0.0470 eV/atom
density of states at the Fermi level = 2.1 states/eV/cell
ρ = 4.89 Mg/m³
energy relative to the lowest polymorph listed for this composition = 0.012 eV/atom



5.
Compound: Ho4Sn3Hg
Source: Alexandria
Functional: PBE-GGA
Structure: optimized geometry

Unit cell a=4.418 b=4.329 c=11.394 alpha=90.00 beta=90.00 gamma=90.00
Sites, in units of the cell vectors:
Ho1 0.500 0.500 0.362
Ho2 0.000 0.500 0.863
Ho3 0.000 0.000 0.134
Ho4 0.500 0.000 0.636
Sn1 0.500 0.000 0.912
Sn2 0.000 0.000 0.406
Sn3 0.000 0.500 0.594
Hg1 0.500 0.500 0.092

Output
energy of formation from the pure elements = -0.6405 eV/atom
density of states at the Fermi level = 6.8 states/eV/cell
ρ = 9.27 Mg/m³



6.
Compound: Tb6Nd2Sm3Tm
Source: Alexandria
Functional: PBE-GGA
Structure: optimized geometry

Unit cell a=6.218 b=6.218 c=11.899 alpha=94.99 beta=94.99 gamma=119.97
Sites, in units of the cell vectors:
Tb1 0.083 0.415 0.250
Tb2 0.249 0.249 0.750
Tb3 0.415 0.083 0.250
Tb4 0.917 0.585 0.750
Tb5 0.585 0.917 0.750
Tb6 0.751 0.751 0.250
Sm1 0.833 0.167 0.500
Sm2 0.500 0.500 0.500
Sm3 0.167 0.833 0.500
Tm1 0.000 0.000 0.000
Nd1 0.334 0.666 0.000
Nd2 0.666 0.334 0.000

Output
energy of formation from the pure elements = 0.0135 eV/atom
density of states at the Fermi level = 15.0 states/eV/cell
ρ = 7.88 Mg/m³



7.
Compound: CeGdMgBi
Source: Alexandria
Functional: PBE-GGA
Structure: optimized geometry

Unit cell a=5.474 b=5.474 c=5.474 alpha=60.00 beta=60.00 gamma=60.00
Sites, in units of the cell vectors:
Gd1 0.250 0.250 0.250
Mg1 0.000 0.000 0.000
Ce1 0.750 0.750 0.750
Bi1 0.500 0.500 0.500

Output
energy of formation from the pure elements = -0.3037 eV/atom
density of states at the Fermi level = 10.4 states/eV/cell
ρ = 7.60 Mg/m³



8.
Compound: CdBiIrOs2
Source: Alexandria
Functional: PBE-GGA
Structure: optimized geometry

Unit cell a=4.992 b=4.968 c=4.992 alpha=90.00 beta=90.00 gamma=90.00
Sites, in units of the cell vectors:
Os1 0.000 0.000 0.500
Os2 0.500 0.000 0.000
Bi1 0.000 0.000 0.000
Cd1 0.500 0.500 0.500
Ir1 0.000 0.500 0.000

Output
energy of formation from the pure elements = 2.4709 eV/atom
density of states at the Fermi level = 6.4 states/eV/cell
ρ = 11.99 Mg/m³



Sequential volume output: 361.41, 522.33, 116.37, 196.95, 217.89, 392.50, 115.97, 123.82 Å³/cell